SbMoIr2 | meta-GGA SCAN | PBEsol geometry

Lattice parameters (Å, degrees): 5.7292 5.7292 11.3312 90.00 90.00 90.00
Space group I-42d (No. 122)
Symmetry-distinct sites (fractional):
Sb 0.0000 0.0000 0.0000 [4 per cell]
Mo 0.0000 0.0000 0.5000 [4 per cell]
Ir 0.2274 0.2500 0.6250 [8 per cell]

E_form (uncorrected)   0.488 eV per atom
Magnetization   0.000 μB per atom
E_tot   -849.565 eV per cell

Ni2IrPb2 | meta-GGA SCAN | PBEsol geometry

Lattice parameters (Å, degrees): 3.3025 3.3025 15.6997 90.00 90.00 90.00
Space group I4/mmm (No. 139)
Symmetry-distinct sites (fractional):
Ni 0.0000 0.5000 0.2500 [4 per cell]
Ir 0.0000 0.0000 0.0000 [2 per cell]
Pb 0.0000 0.0000 0.3891 [4 per cell]

Magnetization   0.145 μB per atom
E_tot   -504.625 eV per cell
Polymorph energy (0 for the lowest one)   0 meV per atom

CuTc2Br | meta-GGA SCAN | PBEsol geometry

Lattice parameters (Å, degrees): 5.0657 9.6412 3.1347 90.00 127.07 90.00
Space group C2/m (No. 12)
Symmetry-distinct sites (fractional):
Cu 0.0000 0.0000 0.0000 [2 per cell]
Tc 0.2500 0.2500 0.5000 [4 per cell]
Br 0.0000 0.5000 0.0000 [2 per cell]

E_form (uncorrected)   0.991 eV per atom
Magnetization   0.000 μB per atom
E_tot   -201.631 eV per cell
Polymorph energy (0 for the lowest one)   302 meV per atom

TiRePb2C | meta-GGA SCAN | PBEsol geometry

Lattice parameters (Å, degrees): 4.7769 4.7769 3.9253 90.00 90.00 90.00
Space group P4/mmm (No. 123)
Symmetry-distinct sites (fractional):
Ti 0.0000 0.0000 0.0000 [1 per cell]
Re 0.5000 0.5000 0.0000 [1 per cell]
Pb 0.0000 0.5000 0.5000 [2 per cell]
C 0.0000 0.0000 0.5000 [1 per cell]

Magnetization   0.000 μB per atom
E_tot   -242.749 eV per cell

ZrSc2Al | meta-GGA SCAN | PBEsol geometry

Lattice parameters (Å, degrees): 3.3911 4.8415 10.2359 90.00 90.00 90.00
Space group Imm2 (No. 44)
Symmetry-distinct sites (fractional):
Zr 0.0000 0.0000 0.0000 [2 per cell]
Sc 0.0000 0.0000 0.4466 [2 per cell]
Sc 0.0000 0.5000 0.2240 [2 per cell]
Al 0.0000 0.5000 0.7251 [2 per cell]

Magnetization   0.001 μB per atom
E_tot   -135.548 eV per cell

Be2MoN | meta-GGA SCAN | PBEsol geometry

Lattice parameters (Å, degrees): 5.7350 5.7350 4.3926 90.00 90.00 90.00
Space group I-42d (No. 122)
Symmetry-distinct sites (fractional):
Be 0.1470 0.7500 0.1250 [8 per cell]
Mo 0.0000 0.0000 0.5000 [4 per cell]
N 0.0000 0.0000 0.0000 [4 per cell]

E_form (uncorrected)   -0.004 eV per atom
Magnetization   0.000 μB per atom
E_tot   -211.603 eV per cell

MoOsRh | meta-GGA SCAN | PBEsol geometry

Lattice parameters (Å, degrees): 5.8577 5.8577 5.8577 90.00 90.00 90.00
Space group F-43m (No. 216)
Symmetry-distinct sites (fractional):
Mo 0.0000 0.0000 0.0000 [4 per cell]
Os 0.0000 0.0000 0.5000 [4 per cell]
Rh 0.2500 0.2500 0.2500 [4 per cell]

Magnetization   0.000 μB per atom
E_tot   -551.607 eV per cell

InPtRh2 | meta-GGA SCAN | PBEsol geometry

Lattice parameters (Å, degrees): 4.0048 4.0048 7.5679 90.00 90.00 90.00
Space group I4/mmm (No. 139)
Symmetry-distinct sites (fractional):
In 0.0000 0.0000 0.0000 [2 per cell]
Pt 0.0000 0.0000 0.5000 [2 per cell]
Rh 0.0000 0.5000 0.2500 [4 per cell]

Magnetization   0.002 μB per atom
E_tot   -344.047 eV per cell

Mn3Ag4O8 | meta-GGA SCAN | PBEsol geometry

Lattice parameters (Å, degrees): 12.5286 12.5286 15.1697 90.00 90.00 120.00
Space group R32 (No. 155, hexagonal axes)
Symmetry-distinct sites (fractional):
Mn 0.0000 0.5400 0.0000 [9 per cell]
Mn 0.0000 0.7049 0.5000 [9 per cell]
Mn 0.0550 0.9028 0.1947 [18 per cell]
Ag 0.0000 0.0000 0.0000 [3 per cell]
Ag 0.0000 0.3367 0.5000 [9 per cell]
Ag 0.0352 0.1524 0.5936 [18 per cell]
Ag 0.0662 0.5252 0.6444 [18 per cell]
O 0.0000 0.0000 0.2628 [6 per cell]
O 0.0155 0.7576 0.7456 [18 per cell]
O 0.0486 0.8352 0.4200 [18 per cell]
O 0.0501 0.5599 0.7820 [18 per cell]
O 0.0513 0.1434 0.8657 [18 per cell]
O 0.0583 0.2464 0.2713 [18 per cell]

E_form (uncorrected)   -1.362 eV per atom
Magnetization   0.599 μB per atom
E_tot   -3006.115 eV per cell
Polymorph energy (0 for the lowest one)   0 meV per atom

Ti2B | meta-GGA SCAN | PBEsol geometry

Lattice parameters (Å, degrees): 5.6087 5.6087 4.6943 90.00 90.00 90.00
Space group I4/mcm (No. 140)
Symmetry-distinct sites (fractional):
Ti 0.1644 0.3356 0.0000 [8 per cell]
B 0.0000 0.0000 0.2500 [4 per cell]

Magnetization   0.000 μB per atom
E_tot   -163.108 eV per cell

Tb | meta-GGA SCAN | PBEsol geometry

Lattice parameters (Å, degrees): 4.9219 4.9219 4.9219 90.00 90.00 90.00
Space group Fm-3m (No. 225)
Symmetry-distinct sites (fractional):
Tb 0.0000 0.0000 0.0000 [4 per cell]

Magnetization   0.001 μB per atom
E_tot   -186.989 eV per cell
Polymorph energy (0 for the lowest one)   15 meV per atom

CaAl2CdW | meta-GGA SCAN | PBEsol geometry

Lattice parameters (Å, degrees): 4.8694 4.8694 5.2142 90.00 90.00 90.00
Space group P4/mmm (No. 123)
Symmetry-distinct sites (fractional):
Ca 0.0000 0.0000 0.0000 [1 per cell]
Al 0.0000 0.5000 0.5000 [2 per cell]
Cd 0.5000 0.5000 0.0000 [1 per cell]
W 0.5000 0.5000 0.5000 [1 per cell]

Magnetization   0.000 μB per atom
E_tot   -123.534 eV per cell

LaCrReH2 | meta-GGA SCAN | PBEsol geometry

Lattice parameters (Å, degrees): 3.8651 3.8651 4.4600 90.00 90.00 90.00
Space group P4/mmm (No. 123)
Symmetry-distinct sites (fractional):
La 0.0000 0.0000 0.0000 [1 per cell]
Cr 0.5000 0.5000 0.0000 [1 per cell]
Re 0.5000 0.5000 0.5000 [1 per cell]
H 0.0000 0.5000 0.5000 [2 per cell]

Magnetization   0.411 μB per atom
E_tot   -136.832 eV per cell

Ba2UCrO6 | meta-GGA SCAN | PBEsol geometry

Lattice parameters (Å, degrees): 8.2585 8.2585 8.2585 90.00 90.00 90.00
Space group Fm-3m (No. 225)
Symmetry-distinct sites (fractional):
Ba 0.2500 0.2500 0.2500 [8 per cell]
U 0.0000 0.0000 0.0000 [4 per cell]
Cr 0.0000 0.0000 0.5000 [4 per cell]
O 0.0000 0.0000 0.2592 [24 per cell]

E_form (uncorrected)   -3.217 eV per atom
Magnetization   0.400 μB per atom
E_tot   -1082.268 eV per cell

Zr2CoCu | meta-GGA SCAN | PBEsol geometry

Lattice parameters (Å, degrees): 3.2851 4.0589 5.1148 90.00 105.97 90.00
Space group Pm (No. 6)
Symmetry-distinct sites (fractional):
Zr 0.0000 0.0000 0.0000 [1 per cell]
Zr 0.2557 0.5000 0.5599 [1 per cell]
Co 0.5519 0.5000 0.1180 [1 per cell]
Cu 0.6995 0.0000 0.4396 [1 per cell]

Magnetization   0.109 μB per atom
E_tot   -94.946 eV per cell

LaMn2Ni | meta-GGA SCAN | PBEsol geometry

Lattice parameters (Å, degrees): 6.4409 6.4409 6.4409 90.00 90.00 90.00
Space group F-43m (No. 216)
Symmetry-distinct sites (fractional):
La 0.0000 0.0000 0.0000 [4 per cell]
Mn 0.0000 0.0000 0.5000 [4 per cell]
Mn 0.2500 0.2500 0.2500 [4 per cell]
Ni 0.2500 0.2500 0.7500 [4 per cell]

Magnetization   0.221 μB per atom
E_tot   -382.974 eV per cell

CoPbBr | meta-GGA SCAN | PBEsol geometry

Lattice parameters (Å, degrees): 6.7388 6.7388 6.7388 90.00 90.00 90.00
Space group F-43m (No. 216)
Symmetry-distinct sites (fractional):
Co 0.0000 0.0000 0.0000 [4 per cell]
Pb 0.0000 0.0000 0.5000 [4 per cell]
Br 0.2500 0.2500 0.2500 [4 per cell]

E_form (uncorrected)   1.126 eV per atom
Magnetization   0.664 μB per atom
E_tot   -436.673 eV per cell

MgZrSc2 | meta-GGA SCAN | PBEsol geometry

Lattice parameters (Å, degrees): 3.1611 4.4937 6.3839 90.00 90.00 90.00
Space group Pmm2 (No. 25)
Symmetry-distinct sites (fractional):
Mg 0.0000 0.0000 0.0000 [1 per cell]
Zr 0.5000 0.5000 0.7403 [1 per cell]
Sc 0.0000 0.0000 0.5149 [1 per cell]
Sc 0.5000 0.5000 0.2574 [1 per cell]

Magnetization   0.061 μB per atom
E_tot   -63.920 eV per cell

LiZrSc2 | meta-GGA SCAN | PBEsol geometry

Lattice parameters (Å, degrees): 3.1823 3.1823 8.8345 90.00 90.00 90.00
Space group P4/mmm (No. 123)
Symmetry-distinct sites (fractional):
Li 0.0000 0.0000 0.0000 [1 per cell]
Zr 0.0000 0.0000 0.5000 [1 per cell]
Sc 0.5000 0.5000 0.2574 [2 per cell]

Magnetization   0.016 μB per atom
E_tot   -61.272 eV per cell
Polymorph energy (0 for the lowest one)   0 meV per atom

LiCr2Os | meta-GGA SCAN | PBEsol geometry

Lattice parameters (Å, degrees): 2.8231 4.1936 8.1036 90.00 90.00 90.00
Space group Imm2 (No. 44)
Symmetry-distinct sites (fractional):
Li 0.0000 0.0000 0.0000 [2 per cell]
Cr 0.0000 0.0000 0.5174 [2 per cell]
Cr 0.0000 0.5000 0.2365 [2 per cell]
Os 0.0000 0.5000 0.7669 [2 per cell]

Magnetization   0.000 μB per atom
E_tot   -220.333 eV per cell

TaZn4Mo | meta-GGA SCAN | PBEsol geometry

Lattice parameters (Å, degrees): 6.9306 6.9306 6.9306 90.00 90.00 90.00
Space group F-43m (No. 216)
Symmetry-distinct sites (fractional):
Ta 0.0000 0.0000 0.0000 [4 per cell]
Zn 0.1247 0.1247 0.3753 [16 per cell]
Mo 0.2500 0.2500 0.7500 [4 per cell]

Magnetization   0.000 μB per atom
E_tot   -625.537 eV per cell

Fe3POs | meta-GGA SCAN | PBEsol geometry

Lattice parameters (Å, degrees): 4.0254 4.0254 4.0254 90.00 90.00 90.00
Space group Pm-3m (No. 221)
Symmetry-distinct sites (fractional):
Fe 0.0000 0.0000 0.5000 [3 per cell]
P 0.0000 0.0000 0.0000 [1 per cell]
Os 0.5000 0.5000 0.5000 [1 per cell]

Magnetization   1.526 μB per atom
E_tot   -132.880 eV per cell

BaTlSb2 | meta-GGA SCAN | PBEsol geometry

Lattice parameters (Å, degrees): 4.8854 4.8854 10.2483 90.00 90.00 90.00
Space group I4/mmm (No. 139)
Symmetry-distinct sites (fractional):
Ba 0.0000 0.0000 0.0000 [2 per cell]
Tl 0.0000 0.0000 0.5000 [2 per cell]
Sb 0.0000 0.5000 0.2500 [4 per cell]

E_form (uncorrected)   -0.512 eV per atom
Magnetization   0.000 μB per atom
E_tot   -376.956 eV per cell
Polymorph energy (0 for the lowest one)   43 meV per atom

Er3Ga5 | meta-GGA SCAN | PBEsol geometry

Lattice parameters (Å, degrees): 11.2090 9.4692 5.9438 90.00 90.00 90.00
Space group Pnma (No. 62)
Symmetry-distinct sites (fractional):
Er 0.0730 0.2500 0.1537 [4 per cell]
Er 0.1478 0.5089 0.6096 [8 per cell]
Ga 0.0058 0.2500 0.6297 [4 per cell]
Ga 0.0908 0.5522 0.1250 [8 per cell]
Ga 0.2006 0.7500 0.8957 [4 per cell]
Ga 0.2480 0.7500 0.3290 [4 per cell]

Magnetization   0.000 μB per atom
E_tot   -954.995 eV per cell